First-principles (GGA-PBE) data for crystalline CeMgSb at its relaxed geometry, as listed in Alexandria via LeMat-Bulk.

abc: 4.445 4.445 7.990
angles: 90.00 90.00 90.00
Last column: magnetic moment on the atom in μB.
Fractional coordinates of all 6 atoms:
Sb (0.000, 0.500, 0.201)  -0.01
Ce (0.000, 0.000, 0.500)  0.49
Mg (0.000, 0.500, 0.838)  0.00
Mg (0.500, 0.000, 0.162)  0.00
Sb (0.500, 0.000, 0.799)  -0.01
Ce (0.500, 0.500, 0.500)  0.49

**Space group**: P4/nmm
**Energy relative to the lowest polymorph listed for this composition**: 2.0 kJ per mole of atoms
**Formation energy (no corrections)**: -1.51 eV per formula unit
**Final energy**: -4.387 eV/atom